(1)
This record from Alexandria via LeMat-Bulk describes a relaxed RbSbF2 crystal. The functional is PBEsol.

Geometry as POSCAR:
```
RbSbF2
1.0
3.604 0.000 0.000
1.802 3.121 0.000
1.802 1.040 7.738
F Sb Rb
2 1 1
Direct
0.906 0.906 0.282
0.094 0.094 0.718
0.000 0.000 0.000
0.500 0.500 0.500
```

Calculated values
Raw total energy in eV per cell: -17.3
Volume in Å³/cell: 87.0
N(E_F) in states/eV/atom: 0.2136
Magnetic moment in μB per cell: 0.00
Calculated density in g cm⁻³: 4.7

=====

(2)
This record from Alexandria via LeMat-Bulk describes a relaxed RbSb2F crystal. The functional is PBEsol.

Geometry as POSCAR:
```
RbSb2F
1.0
5.762 0.000 0.000
0.000 5.762 0.000
-2.881 -2.881 8.348
F Sb Rb
2 4 2
Direct
0.750 0.250 0.500
0.500 0.500 0.000
0.625 0.375 0.250
0.625 0.875 0.250
0.625 0.375 0.750
0.125 0.375 0.750
0.250 0.750 0.500
0.000 0.000 0.000
```

Calculated values
Raw total energy in eV per cell: -28.4
Volume in Å³/cell: 277.1
N(E_F) in states/eV/atom: 0.4427
Magnetic moment in μB per cell: 0.00
Calculated density in g cm⁻³: 4.2

=====

(3)
This record from Alexandria via LeMat-Bulk describes a relaxed RbZrSbF2 crystal. The functional is PBEsol.

Geometry as POSCAR:
```
RbZrSbF2
1.0
-3.044 1.631 2.854
-1.283 -4.171 1.014
4.347 -0.185 4.742
Rb F Sb Zr
1 2 1 1
Direct
0.000 0.000 0.000
0.000 0.500 0.000
0.500 0.000 0.000
0.000 0.000 0.500
0.500 0.500 0.500
```

Calculated values
Raw total energy in eV per cell: -21.2
Volume in Å³/cell: 129.2
N(E_F) in states/eV/atom: 0.6230
Magnetic moment in μB per cell: 0.62
Calculated density in g cm⁻³: 4.3

=====

(4)
This record from Alexandria via LeMat-Bulk describes a relaxed Rb3SeF crystal. The functional is PBEsol.

Geometry as POSCAR:
```
Rb3SeF
1.0
-5.110 0.503 1.435
-0.724 -5.230 -0.746
1.337 -0.910 5.081
Rb F Se
3 1 1
Direct
0.000 0.500 0.000
0.500 0.000 0.000
0.000 0.000 0.500
0.000 0.000 0.000
0.500 0.500 0.500
```

Calculated values
Raw total energy in eV per cell: -17.2
Volume in Å³/cell: 151.6
N(E_F) in states/eV/atom: 0.0000
Magnetic moment in μB per cell: 0.00
Calculated density in g cm⁻³: 3.9